# KRb2BaSe

KRb2BaSe after structural relaxation (PBE, Alexandria via LeMat-Bulk).

Unit cell a=7.0052 b=7.0052 c=6.3662 alpha=90.00 beta=90.00 gamma=90.00
Closest atoms and distances in Å follow each position.
Fractional positions:
Ba1 0.0000 0.0000 0.5000  2 Se 3.18
Rb1 0.5000 0.0000 0.0000  2 Se 3.50
Rb2 0.0000 0.5000 0.0000  2 Se 3.50
Se1 0.0000 0.0000 0.0000  2 Ba 3.18, 4 Rb 3.50
K1 0.5000 0.5000 0.5000  8 Rb 4.73, 4 Ba 4.95

Computed properties:
- E_form (uncorrected) (meV per atom) = -616
- total magnetization (μB per cell) = 0.0
- space-group type = P4/mmm (123)